# 1
First-principles (GGA-PBE) data for a relaxed structure of Rb2Ho2TiS6, as listed in Alexandria via LeMat-Bulk.

Output
The volume comes out at 303.1 Å³/cell. Its total energy is -62.26 eV per cell. The value obtained for the uncorrected formation energy is -1.683 eV/atom. Its mass density is 4.06 g/cm³.

```
Rb2Ho2TiS6
1.0
-1.162 6.458 -1.161
-4.910 -4.423 -0.859
-0.066 0.250 8.177
Rb Ho Ti S
2 2 1 6
Cartesian
-1.804 4.594 -1.110
-4.268 -2.559 -0.911
-3.694 -0.674 3.128
-2.443 2.958 3.028
-0.033 0.125 4.088
-4.647 1.713 4.034
-1.941 -1.055 5.188
-1.490 0.572 2.122
-0.791 2.282 5.096
-4.197 3.340 0.968
-5.346 0.003 1.060
```

# 2
First-principles (GGA-PBE) data for a relaxed structure of MnReNiN2, as listed in Alexandria via LeMat-Bulk.

Output
Its density of states at the Fermi level is 5.82 states/eV per cell. The volume comes out at 63.2 Å³/cell. Its total energy is -34.37 eV per cell. The value obtained for the uncorrected formation energy is 1.935 eV/atom. Its mass density is 8.61 g/cm³.

```
MnReNiN2
1.0
3.515 0.000 0.000
0.000 5.114 0.000
0.000 0.000 3.515
Re N Mn Ni
1 2 1 1
Cartesian
0.000 2.557 0.000
0.000 0.000 1.758
1.758 0.000 0.000
1.758 2.557 1.758
0.000 0.000 0.000
```

# 3
First-principles (GGA-PBE) data for a relaxed structure of Hf2ScTl2, as listed in Alexandria via LeMat-Bulk.

Output
Its density of states at the Fermi level is 11.60 states/eV per cell. The volume comes out at 234.0 Å³/cell. As for the offset from the most stable computed form: 0.0 meV/atom. Its total energy is -60.86 eV per cell. Its mass density is 11.51 g/cm³.

```
Hf2ScTl2
1.0
-2.343 -5.151 5.137
0.092 -5.417 -5.390
3.812 -0.834 0.903
Sc Tl Hf
2 4 4
Cartesian
0.000 0.000 0.000
-1.125 -5.284 -0.127
-0.770 -6.542 -2.787
-1.963 -7.896 0.996
-1.481 -4.027 2.534
-0.288 -2.672 -1.250
1.577 -4.889 -2.286
0.420 -8.365 -0.614
-0.016 -6.513 2.936
1.141 -3.037 1.263
```